Entry 1:
First-principles (PBE-GGA) data for a relaxed structure of LaSmSiNi, as listed in Alexandria via LeMat-Bulk. Values from VASP.

```
&SYSTEM
  ibrav = 0, nat = 4, ntyp = 4
/
ATOMIC_SPECIES
Si 28.09 Si.upf
Ni 58.69 Ni.upf
La 138.91 La.upf
Sm 150.36 Sm.upf
CELL_PARAMETERS angstrom
4.107 -0.013 -0.006
-2.041 3.564 0.006
-2.048 -1.185 7.238
ATOMIC_POSITIONS crystal
Si 0.832 0.281 0.113
Ni 0.507 0.618 0.125
La 0.349 0.039 0.388
Sm 0.004 0.867 0.871
```

## Properties
SG = R3m (160)
magnetization = 0.000 Bohr magnetons per cell
uncorrected formation energy = -0.536 eV per atom

***

Entry 2:
First-principles (PBE-GGA) data for a relaxed structure of LaThSi2Ni2, as listed in Alexandria via LeMat-Bulk. Values from VASP.

```
&SYSTEM
  ibrav = 0, nat = 6, ntyp = 4
/
ATOMIC_SPECIES
Ni 58.69 Ni.upf
Si 28.09 Si.upf
Th 232.04 Th.upf
La 138.91 La.upf
CELL_PARAMETERS angstrom
4.083 0.000 0.000
-2.042 3.536 0.000
0.000 0.000 8.359
ATOMIC_POSITIONS crystal
Ni 0.333 0.667 0.262
Si 0.333 0.667 0.743
Th 0.000 0.000 0.500
La 0.000 0.000 0.000
Ni 0.667 0.333 0.738
Si 0.667 0.333 0.257
```

## Properties
SG = P-3m1 (164)
magnetization = 0.000 Bohr magnetons per cell
uncorrected formation energy = -0.769 eV per atom

***

Entry 3:
First-principles (PBE-GGA) data for a relaxed structure of La2ThSi3Ni12, as listed in Alexandria via LeMat-Bulk. Values from VASP.

```
&SYSTEM
  ibrav = 0, nat = 18, ntyp = 4
/
ATOMIC_SPECIES
La 138.91 La.upf
Ni 58.69 Ni.upf
Si 28.09 Si.upf
Th 232.04 Th.upf
CELL_PARAMETERS angstrom
7.611 0.115 0.081
3.858 6.562 0.081
3.858 2.246 6.166
ATOMIC_POSITIONS crystal
La 0.400 0.400 0.400
Ni 0.542 0.158 0.158
Ni 0.353 0.888 0.353
Ni 0.647 0.647 0.112
La 0.600 0.600 0.600
Ni 0.458 0.842 0.842
Ni 0.842 0.458 0.842
Si 0.500 0.000 0.000
Si 0.000 0.500 0.000
Ni 0.647 0.112 0.647
Ni 0.112 0.647 0.647
Ni 0.842 0.842 0.458
Ni 0.353 0.353 0.888
Si 0.000 0.000 0.500
Ni 0.888 0.353 0.353
Ni 0.158 0.542 0.158
Ni 0.158 0.158 0.542
Th 0.000 0.000 0.000
```

## Properties
SG = R-3m (166)
magnetization = 0.000 Bohr magnetons per cell
uncorrected formation energy = -0.041 eV per atom